(1)
# SbPb2Br

A relaxed SbPb2Br crystal (PBE, Alexandria).

Structure (POSCAR):
```
SbPb2Br
1.0
4.548 0.000 0.000
-2.274 3.939 0.000
0.000 0.000 23.816
Sb Pb Br
3 6 3
direct
0.000 0.000 0.000
0.333 0.667 0.667
0.667 0.333 0.333
0.000 0.000 0.410
0.000 0.000 0.598
0.333 0.667 0.077
0.333 0.667 0.264
0.667 0.333 0.744
0.667 0.333 0.931
0.000 0.000 0.820
0.333 0.667 0.487
0.667 0.333 0.154
```

Values from the calculation:
V (Å³ per cell): 426.7
Magnetization (μB/cell): 0.0
VASP energy (eV/atom): -3.63
Offset from the most stable computed form (eV per formula unit): 0.11
Formation energy from raw total energies (eV per atom): -0.325

***

(2)
# Sb2PbBr

A relaxed Sb2PbBr crystal (PBE, Alexandria).

Structure (POSCAR):
```
Sb2PbBr
1.0
4.368 0.000 0.000
0.000 4.368 0.000
0.000 0.000 12.935
Sb Pb Br
4 2 2
direct
0.000 0.500 0.250
0.000 0.500 0.750
0.500 0.000 0.250
0.500 0.000 0.750
0.000 0.000 0.000
0.500 0.500 0.500
0.000 0.000 0.500
0.500 0.500 0.000
```

Values from the calculation:
V (Å³ per cell): 246.8
Magnetization (μB/cell): 0.0
VASP energy (eV/atom): -3.44
Offset from the most stable computed form (eV per formula unit): 0.53
Formation energy from raw total energies (eV per atom): -0.032

***

(3)
# SbPb2Br

A relaxed SbPb2Br crystal (PBE, Alexandria).

Structure (POSCAR):
```
SbPb2Br
1.0
16.044 0.000 0.000
0.000 4.136 0.000
-1.170 0.000 4.187
Sb Pb Br
2 4 2
direct
0.000 0.000 0.000
0.500 0.500 0.000
0.151 0.500 0.149
0.422 0.000 0.424
0.651 0.000 0.149
0.922 0.500 0.424
0.242 0.000 0.739
0.742 0.500 0.739
```

Values from the calculation:
V (Å³ per cell): 277.9
Magnetization (μB/cell): 0.0
VASP energy (eV/atom): -3.53
Offset from the most stable computed form (eV per formula unit): 0.50
Formation energy from raw total energies (eV per atom): -0.229

***

(4)
# SbPb2Br

A relaxed SbPb2Br crystal (PBE, Alexandria).

Structure (POSCAR):
```
SbPb2Br
1.0
7.770 0.000 0.000
0.000 7.770 0.000
0.000 0.000 7.770
Sb Pb Br
4 8 4
direct
0.000 0.000 0.000
0.000 0.500 0.500
0.500 0.000 0.500
0.500 0.500 0.000
0.000 0.000 0.500
0.000 0.500 0.000
0.250 0.250 0.250
0.250 0.750 0.750
0.500 0.000 0.000
0.500 0.500 0.500
0.750 0.250 0.750
0.750 0.750 0.250
0.250 0.250 0.750
0.250 0.750 0.250
0.750 0.250 0.250
0.750 0.750 0.750
```

Values from the calculation:
V (Å³ per cell): 469.0
Magnetization (μB/cell): 0.0
VASP energy (eV/atom): -3.31
Offset from the most stable computed form (eV per formula unit): 1.39
Formation energy from raw total energies (eV per atom): -0.006

***

(5)
# SbPb2Br

A relaxed SbPb2Br crystal (PBE, Alexandria).

Structure (POSCAR):
```
SbPb2Br
1.0
3.564 0.000 0.000
0.000 6.066 0.000
0.000 0.000 11.249
Sb Pb Br
2 4 2
direct
0.000 0.000 0.000
0.500 0.500 0.500
0.000 0.500 0.255
0.000 0.500 0.745
0.500 0.000 0.245
0.500 0.000 0.755
0.000 0.000 0.500
0.500 0.500 0.000
```

Values from the calculation:
V (Å³ per cell): 243.2
Magnetization (μB/cell): 0.0
VASP energy (eV/atom): -3.33
Offset from the most stable computed form (eV per formula unit): 1.32
Formation energy from raw total energies (eV per atom): -0.024

***

(6)
# SbPb2Br8

A relaxed SbPb2Br8 crystal (PBE, Alexandria).

Structure (POSCAR):
```
SbPb2Br8
1.0
6.713 -4.898 0.000
6.713 4.898 0.000
-3.215 0.000 6.536
Sb Pb Br
1 2 8
direct
0.000 0.000 0.000
0.339 0.339 0.762
0.661 0.661 0.238
0.040 0.666 0.736
0.112 0.112 0.770
0.334 0.960 0.264
0.432 0.432 0.192
0.568 0.568 0.808
0.666 0.040 0.736
0.888 0.888 0.230
0.960 0.334 0.264
```

Values from the calculation:
V (Å³ per cell): 429.8
Magnetization (μB/cell): 0.0
VASP energy (eV/atom): -2.92
Formation energy from raw total energies (eV per atom): -0.656

***

(7)
# Sb2PbBr

A relaxed Sb2PbBr crystal (PBE, Alexandria).

Structure (POSCAR):
```
Sb2PbBr
1.0
3.410 0.000 0.000
0.000 4.333 0.000
-0.031 0.000 8.860
Sb Pb Br
2 1 1
direct
0.000 0.000 0.000
0.003 0.500 0.219
0.508 0.000 0.476
0.512 0.500 0.696
```

Values from the calculation:
V (Å³ per cell): 130.9
Magnetization (μB/cell): 0.0
VASP energy (eV/atom): -3.56
Offset from the most stable computed form (eV per formula unit): 0.06
Formation energy from raw total energies (eV per atom): -0.149

***

(8)
# Sb2PbBr

A relaxed Sb2PbBr crystal (PBE, Alexandria).

Structure (POSCAR):
```
Sb2PbBr
1.0
6.043 0.000 0.000
0.000 11.812 0.000
0.000 0.000 3.359
Sb Pb Br
4 2 2
direct
0.250 0.250 0.000
0.250 0.750 0.000
0.750 0.250 0.000
0.750 0.750 0.000
0.000 0.000 0.500
0.500 0.500 0.500
0.000 0.500 0.500
0.500 0.000 0.500
```

Values from the calculation:
V (Å³ per cell): 239.8
Magnetization (μB/cell): 0.0
VASP energy (eV/atom): -3.34
Offset from the most stable computed form (eV per formula unit): 0.91
Formation energy from raw total energies (eV per atom): 0.063

***

(9)
# Sb2Pb3Br

A relaxed Sb2Pb3Br crystal (PBE, Alexandria).

Structure (POSCAR):
```
Sb2Pb3Br
1.0
7.928 0.000 0.000
0.000 4.504 0.000
-2.853 0.000 11.484
Sb Pb Br
4 6 2
direct
0.017 0.250 0.327
0.250 0.250 0.002
0.750 0.750 0.998
0.983 0.750 0.673
0.128 0.750 0.156
0.213 0.750 0.491
0.356 0.750 0.852
0.644 0.250 0.148
0.787 0.250 0.509
0.872 0.250 0.844
0.475 0.250 0.664
0.525 0.750 0.336
```

Values from the calculation:
V (Å³ per cell): 410.1
Magnetization (μB/cell): 0.0
VASP energy (eV/atom): -3.69
Formation energy from raw total energies (eV per atom): -0.187

***

(10)
# SbPbBr2

A relaxed SbPbBr2 crystal (PBE, Alexandria).

Structure (POSCAR):
```
SbPbBr2
1.0
3.654 0.000 0.000
-1.827 3.164 0.000
0.000 0.000 31.708
Sb Pb Br
3 3 6
direct
0.000 0.000 0.000
0.333 0.667 0.667
0.667 0.333 0.333
0.000 0.000 0.500
0.333 0.667 0.167
0.667 0.333 0.833
0.000 0.000 0.088
0.000 0.000 0.912
0.333 0.667 0.579
0.333 0.667 0.755
0.667 0.333 0.245
0.667 0.333 0.421
```

Values from the calculation:
V (Å³ per cell): 366.6
Magnetization (μB/cell): 0.0
VASP energy (eV/atom): -3.06
Offset from the most stable computed form (eV per formula unit): 0.18
Formation energy from raw total energies (eV per atom): -0.267

***

(11)
# SbPbBr2

A relaxed SbPbBr2 crystal (PBE, Alexandria).

Structure (POSCAR):
```
SbPbBr2
1.0
7.719 0.000 0.000
0.000 7.719 0.000
0.000 0.000 7.719
Sb Pb Br
4 4 8
direct
0.000 0.000 0.000
0.000 0.500 0.500
0.500 0.000 0.500
0.500 0.500 0.000
0.000 0.000 0.500
0.000 0.500 0.000
0.500 0.000 0.000
0.500 0.500 0.500
0.250 0.250 0.250
0.250 0.250 0.750
0.250 0.750 0.250
0.250 0.750 0.750
0.750 0.250 0.250
0.750 0.250 0.750
0.750 0.750 0.250
0.750 0.750 0.750
```

Values from the calculation:
V (Å³ per cell): 459.9
Magnetization (μB/cell): 0.0
VASP energy (eV/atom): -2.79
Offset from the most stable computed form (eV per formula unit): 1.29
Formation energy from raw total energies (eV per atom): 0.009

***

(12)
# SbPbBr2

A relaxed SbPbBr2 crystal (PBE, Alexandria).

Structure (POSCAR):
```
SbPbBr2
1.0
4.915 0.000 0.000
0.000 4.915 0.000
0.000 0.000 9.516
Sb Pb Br
2 2 4
direct
0.000 0.000 0.000
0.500 0.500 0.500
0.000 0.000 0.500
0.500 0.500 0.000
0.000 0.500 0.250
0.000 0.500 0.750
0.500 0.000 0.250
0.500 0.000 0.750
```

Values from the calculation:
V (Å³ per cell): 229.9
Magnetization (μB/cell): 0.0
VASP energy (eV/atom): -2.83
Offset from the most stable computed form (eV per formula unit): 1.10
Formation energy from raw total energies (eV per atom): -0.039